Compound: Ru3Rh2
Source: Alexandria
Functional: GGA-PBE
Structure: relaxed

Computed properties:
For the energy relative to the elements, the calculation gives 0.18 eV/atom.

Cell lengths 8.053, 7.061, 5.111 Å; angles 81.13, 60.04, 38.84 degrees
Positions (direct):
Ru: 0.343 0.463 0.726
Ru: 0.926 0.074 0.074
Rh: 0.704 0.894 0.343
Rh: 0.907 0.191 0.546
Ru: 0.787 0.907 0.782
Rh: 0.059 0.343 0.894
Ru: 0.524 0.782 0.907
Ru: 0.468 0.726 0.463
Ru: 0.176 0.324 0.324
Rh: 0.356 0.546 0.191